AcDy2Br | PBE | optimized geometry

size of the total moment: 0.00 Bohr magnetons per cell
space-group type: R-3m
crystal system: trigonal
formation energy from raw total energies: -237 meV/atom

Geometry as CIF:
```
data_AcDy2Br
_space_group_name_H-M_alt 'P 1'
_space_group_IT_number 1
_space_group_name_Hall 'P 1'
_cell_length_a 11.901
_cell_length_b 11.901
_cell_length_c 11.901
_cell_angle_alpha 17.37
_cell_angle_beta 17.37
_cell_angle_gamma 17.37
loop_
_atom_site_label
_atom_site_fract_x
_atom_site_fract_y
_atom_site_fract_z
Ac1 0.000 0.000 0.000
Dy1 0.100 0.100 0.100
Dy2 0.900 0.900 0.900
Br1 0.500 0.500 0.500
```